Entry from Alexandria: NaLiSCl2 after structural relaxation (GGA-PBE).

Geometry as POSCAR:
```
NaLiSCl2
1.0
5.3041 0.0000 0.0000
0.0000 5.3041 0.0000
0.0000 0.0000 5.1533
Na Li S Cl
1 1 1 2
direct
0.0000 0.0000 0.0000
0.5000 0.5000 0.5000
0.0000 0.0000 0.5000
0.0000 0.5000 0.0000
0.5000 0.0000 0.0000
```

Results
**Total magnetization**: 2.01 μB/f.u.
**Symmetry**: P4/mmm (123)
**Excess energy over the best structure of this formula in the dataset**: 0.285 eV per atom
**Raw formation energy**: -0.46 eV/atom



Entry from Alexandria: Na2LiSbCl6 after structural relaxation (GGA-PBE).

Geometry as POSCAR:
```
Na2LiSbCl6
1.0
0.0000 5.1583 5.1583
5.1583 0.0000 5.1583
5.1583 5.1583 0.0000
Na Li Sb Cl
2 1 1 6
direct
0.2500 0.2500 0.2500
0.7500 0.7500 0.7500
0.0000 0.0000 0.0000
0.5000 0.5000 0.5000
0.2445 0.2445 0.7555
0.2445 0.7555 0.2445
0.2445 0.7555 0.7555
0.7555 0.2445 0.2445
0.7555 0.2445 0.7555
0.7555 0.7555 0.2445
```

Results
**Total magnetization**: 0.00 μB/f.u.
**Symmetry**: Fm-3m (225)
**Excess energy over the best structure of this formula in the dataset**: 0.129 eV per atom
**Raw formation energy**: -1.29 eV/atom



Entry from Alexandria: Na2LiSbCl6 after structural relaxation (GGA-PBE).

Geometry as POSCAR:
```
Na2LiSbCl6
1.0
3.4676 2.0020 6.6028
-3.4676 2.0020 6.6028
0.0000 -4.0040 6.6028
Na Li Sb Cl
2 1 1 6
direct
0.0000 0.0000 0.0000
0.4958 0.4958 0.4958
0.2328 0.2328 0.2328
0.8091 0.8091 0.8091
0.0660 0.4335 0.7237
0.2071 0.9105 0.5835
0.4335 0.7237 0.0660
0.5835 0.2071 0.9105
0.7237 0.0660 0.4335
0.9105 0.5835 0.2071
```

Results
**Total magnetization**: 0.00 μB/f.u.
**Symmetry**: R3 (146)
**Excess energy over the best structure of this formula in the dataset**: 0.000 eV per atom
**Raw formation energy**: -1.42 eV/atom



Entry from Alexandria: Na2LiScCl6 after structural relaxation (GGA-PBE).

Geometry as POSCAR:
```
Na2LiScCl6
1.0
3.3998 1.9629 5.9487
-3.3998 1.9629 5.9487
0.0000 -3.9258 5.9487
Na Li Sc Cl
2 1 1 6
direct
0.0000 0.0000 0.0000
0.4932 0.4932 0.4932
0.2125 0.2125 0.2125
0.6984 0.6984 0.6984
0.0521 0.4459 0.8263
0.3378 0.9268 0.5707
0.4459 0.8263 0.0521
0.5707 0.3378 0.9268
0.8263 0.0521 0.4459
0.9268 0.5707 0.3378
```

Results
**Total magnetization**: 0.00 μB/f.u.
**Symmetry**: R3 (146)
**Raw formation energy**: -1.92 eV/atom



Entry from Alexandria: NaLiScCl5 after structural relaxation (GGA-PBE).

Geometry as POSCAR:
```
NaLiScCl5
1.0
3.9536 -5.9790 0.0000
3.9536 5.9790 0.0000
-3.5750 0.0000 8.6858
Na Li Sc Cl
2 2 2 10
direct
0.1077 0.8923 0.7500
0.8923 0.1077 0.2500
0.2056 0.7944 0.2500
0.7944 0.2056 0.7500
0.5000 0.5000 0.0000
0.5000 0.5000 0.5000
0.1105 0.2607 0.9421
0.1790 0.5345 0.3732
0.2607 0.1105 0.4421
0.4172 0.5828 0.7500
0.4655 0.8210 0.1268
0.5345 0.1790 0.8732
0.5828 0.4172 0.2500
0.7393 0.8895 0.5579
0.8210 0.4655 0.6268
0.8895 0.7393 0.0579
```

Results
**Total magnetization**: 0.00 μB/f.u.
**Symmetry**: C2/c (15)
**Raw formation energy**: -1.94 eV/atom



Entry from Alexandria: NaLi2SmCl6 after structural relaxation (GGA-PBE).

Geometry as POSCAR:
```
NaLi2SmCl6
1.0
3.3773 1.9499 6.1414
-3.3773 1.9499 6.1414
0.0000 -3.8998 6.1414
Na Li Sm Cl
1 2 1 6
direct
0.0000 0.0000 0.0000
0.2045 0.2045 0.2045
0.7066 0.7066 0.7066
0.5067 0.5067 0.5067
0.0875 0.4314 0.8007
0.3198 0.9259 0.5677
0.4314 0.8007 0.0875
0.5677 0.3198 0.9259
0.8007 0.0875 0.4314
0.9259 0.5677 0.3198
```

Results
**Total magnetization**: 0.00 μB/f.u.
**Symmetry**: R3 (146)
**Raw formation energy**: -1.98 eV/atom